Record 1
VASP calculation (SCAN) on a PBEsol-optimized structure of CdAg2Sb.

Unit cell a=3.074 b=4.077 c=6.306 alpha=90.00 beta=90.00 gamma=90.00
Positions (direct):
Ag 0.000 0.000 0.230
Ag 0.000 0.000 0.770
Sb 0.500 0.500 0.500
Cd 0.500 0.500 0.000

Calculated values
SG	Pmmm, No. 47
ΔE_f (raw)	0.06	eV per atom

---

Record 2
VASP calculation (SCAN) on a PBEsol-optimized structure of SrLiMn2Cu.

Unit cell a=5.172 b=5.484 c=5.484 alpha=90.00 beta=90.00 gamma=90.00
Positions (direct):
Cu 0.500 0.000 0.000
Sr 0.000 0.000 0.000
Mn 0.000 0.000 0.500
Mn 0.000 0.500 0.000
Li 0.500 0.500 0.500

Calculated values
SG	P4/mmm, No. 123
total energy	-13.8708	eV per atom